## AlMoAu3 (PBE-GGA)

Data for a relaxed structure of AlMoAu3.

The value obtained for the total magnetic moment is 0.00 μB per formula unit. The calculation puts the formation energy at 1.1171 eV/atom. Its uncorrected energy is -3.76 eV/atom.

It has space group Pm-3m (No. 221), with a = 5.084 Å, b = 5.084 Å, c = 5.084 Å, α = 90.00°, β = 90.00° and γ = 90.00°. The inequivalent atoms are Al at (0.000, 0.000, 0.000), Mo at (0.500, 0.500, 0.500) and Au at (0.000, 0.500, 0.500).